(1)
DFT (PBE) results for BaSrCa2Ni after structural relaxation.

Cell lengths 5.7665, 5.7665, 5.9562 Å; angles 90.00, 90.00, 90.00 degrees
Last column: nearest neighbours and their distance in Å.
Space group P4/mmm (No. 123)
Asymmetric unit:
1 Ba 0.0000 0.0000 0.0000 x1  4 Sr 4.08, 8 Ca 4.15
2 Sr 0.5000 0.5000 0.0000 x1  2 Ni 2.98
3 Ca 0.0000 0.5000 0.5000 x2  2 Ni 2.88
4 Ni 0.5000 0.5000 0.5000 x1  4 Ca 2.88, 2 Sr 2.98

Computed properties:
Calculated formation energy ... -0.016 eV/atom



(2)
DFT (PBE) results for NaUBi6 after structural relaxation.

Cell lengths 4.9106, 4.9106, 9.9717 Å; angles 90.00, 90.00, 90.00 degrees
Last column: nearest neighbours and their distance in Å.
Space group P4/mmm (No. 123)
Asymmetric unit:
1 Na 0.0000 0.0000 0.0000 x1  12 Bi 3.47-3.52
2 U 0.0000 0.0000 0.5000 x1  12 Bi 3.47-3.48
3 Bi 0.0000 0.5000 0.2525 x4  8 Bi 3.47-3.52, 2 U 3.48, 2 Na 3.52
4 Bi 0.5000 0.5000 0.0000 x1  4 Na 3.47, 8 Bi 3.52
5 Bi 0.5000 0.5000 0.5000 x1  4 U 3.47, 8 Bi 3.48

Computed properties:
Calculated formation energy ... -0.050 eV/atom



(3)
DFT (PBE) results for NaGeRhO4 after structural relaxation.

Cell lengths 5.9422, 6.4184, 8.6552 Å; angles 90.00, 90.00, 90.00 degrees
Last column: nearest neighbours and their distance in Å.
Space group Imma (No. 74)
Asymmetric unit:
1 Na 0.0000 0.2500 0.1359 x4  4 O 2.19
2 Ge 0.2500 0.2500 0.7500 x4  6 O 1.92-1.98
3 Rh 0.0000 0.0000 0.5000 x4  6 O 2.08-2.10
4 O 0.0000 0.0473 0.7397 x8  2 Ge 1.98, 1 Rh 2.10, 1 Na 2.19
5 O 0.2200 0.2500 0.5289 x8  1 Ge 1.92, 2 Rh 2.08

Computed properties:
ΔE_f (raw) ... -1.392 eV/atom



(4)
DFT (PBE) results for AcPr2Ge2Au2 after structural relaxation.

Cell lengths 4.5768, 4.5768, 30.6347 Å; angles 90.00, 90.00, 120.00 degrees
Last column: nearest neighbours and their distance in Å.
Space group R-3m (No. 166, hexagonal axes)
Asymmetric unit:
1 Ac 0.0000 0.0000 0.0000 x3  6 Au 3.35, 6 Ge 3.62
2 Pr 0.0000 0.0000 0.1294 x6  3 Ge 3.04, 3 Au 3.26
3 Ge 0.0000 0.0000 0.2527 x6  3 Au 2.67
4 Au 0.0000 0.0000 0.4005 x6  3 Ge 2.67

Computed properties:
Calculated formation energy ... -0.652 eV/atom



(5)
DFT (PBE) results for SmLuPu after structural relaxation.

Cell lengths 3.4972, 3.4972, 14.7519 Å; angles 90.00, 90.00, 90.00 degrees
Last column: nearest neighbours and their distance in Å.
Space group I4mm (No. 107)
Asymmetric unit:
1 Sm 0.0000 0.0000 0.0000 x2  4 Pu 3.49, 4 Sm 3.50, 4 Lu 3.55
2 Lu 0.0000 0.0000 0.3277 x2  4 Pu 3.43, 4 Lu 3.50, 4 Sm 3.55
3 Pu 0.0000 0.0000 0.6670 x2  4 Lu 3.43, 4 Sm 3.49, 4 Pu 3.50

Computed properties:
Calculated formation energy ... 0.114 eV/atom



(6)
DFT (PBE) results for KIn2Ni after structural relaxation.

Cell lengths 3.1210, 5.8389, 11.2515 Å; angles 90.00, 90.00, 90.00 degrees
Last column: nearest neighbours and their distance in Å.
Space group Immm (No. 71)
Asymmetric unit:
1 K 0.0000 0.0000 0.0000 x2  2 K 3.12, 4 Ni 3.31
2 In 0.0000 0.5000 0.1902 x4  2 Ni 2.65
3 Ni 0.0000 0.0000 0.5000 x2  4 In 2.65

Computed properties:
Calculated formation energy ... 0.121 eV/atom



(7)
DFT (PBE) results for Ba3GaSb after structural relaxation.

Cell lengths 6.1915, 6.1915, 6.1915 Å; angles 90.00, 90.00, 90.00 degrees
Last column: nearest neighbours and their distance in Å.
Space group Pm-3m (No. 221)
Asymmetric unit:
1 Ba 0.0000 0.0000 0.5000 x3  2 Ga 3.10
2 Ga 0.0000 0.0000 0.0000 x1  6 Ba 3.10
3 Sb 0.5000 0.5000 0.5000 x1  12 Ba 4.38

Computed properties:
ΔE_f (raw) ... -0.281 eV/atom



(8)
DFT (PBE) results for TbScTlO2 after structural relaxation.

Cell lengths 3.7689, 3.7689, 13.7388 Å; angles 90.00, 90.00, 90.00 degrees
Last column: nearest neighbours and their distance in Å.
Space group I4mm (No. 107)
Asymmetric unit:
1 Tb 0.0000 0.0000 0.0000 x2  4 O 2.24
2 Sc 0.0000 0.0000 0.3464 x2  4 O 2.09
3 Tl 0.0000 0.0000 0.6702 x2  4 Tb 3.55, 4 Sc 3.60, 4 Tl 3.77, 4 O 3.82
4 O 0.0000 0.5000 0.4124 x4  2 Sc 2.09, 2 Tb 2.24

Computed properties:
ΔE_f (raw) ... -2.375 eV/atom



(9)
DFT (PBE) results for Cs2K6Rb after structural relaxation.

Cell lengths 23.2323, 13.5489, 4.7547 Å; angles 90.00, 91.12, 90.00 degrees
Last column: nearest neighbours and their distance in Å.
Space group C2/m (No. 12)
Asymmetric unit:
1 Cs 0.1662 0.0000 0.4967 x4  2 Cs 4.75, 12 K 5.04-5.18
2 K 0.0000 0.1702 0.0000 x4  5 K 4.45-4.75
3 K 0.1652 0.3352 0.9741 x8  5 K 4.45-4.75, 1 Rb 4.95
4 Rb 0.0000 0.5000 0.5000 x2  2 Rb 4.75, 12 K 4.95-5.13

Computed properties:
Calculated formation energy ... 0.012 eV/atom



(10)
DFT (PBE) results for Y3InRe after structural relaxation.

Cell lengths 5.5702, 5.5702, 5.5702 Å; angles 90.00, 90.00, 90.00 degrees
Last column: nearest neighbours and their distance in Å.
Space group Pm-3m (No. 221)
Asymmetric unit:
1 Y 0.0000 0.0000 0.5000 x3  2 In 2.79
2 In 0.0000 0.0000 0.0000 x1  6 Y 2.79
3 Re 0.5000 0.5000 0.5000 x1  12 Y 3.94

Computed properties:
Calculated formation energy ... 1.332 eV/atom



(11)
DFT (PBE) results for Fe2SbPd6 after structural relaxation.

Cell lengths 4.0377, 11.3102, 12.0935 Å; angles 90.00, 90.00, 90.00 degrees
Last column: nearest neighbours and their distance in Å.
Space group Fmmm (No. 69)
Asymmetric unit:
1 Fe 0.0000 0.0000 0.1801 x8  8 Pd 2.58-2.82, 2 Fe 2.63
2 Sb 0.0000 0.0000 0.5000 x4  8 Pd 2.70-2.73, 4 Fe 2.97
3 Pd 0.0000 0.1586 0.0000 x8  2 Sb 2.70, 2 Fe 2.82, 8 Pd 2.87-2.89
4 Pd 0.0000 0.1606 0.3316 x16  3 Fe 2.58-2.72, 1 Sb 2.73, 8 Pd 2.82-2.89

Computed properties:
ΔE_f (raw) ... -0.170 eV/atom



(12)
DFT (PBE) results for Tc2IrRu after structural relaxation.

Cell lengths 2.7315, 2.7315, 26.7311 Å; angles 90.00, 90.00, 120.00 degrees
Last column: nearest neighbours and their distance in Å.
Space group R-3m (No. 166, hexagonal axes)
Asymmetric unit:
1 Tc 0.0000 0.0000 0.2502 x6  3 Ru 2.73, 6 Tc 2.73, 3 Ir 2.73
2 Ir 0.0000 0.0000 0.5000 x3  6 Ir 2.73, 6 Tc 2.73
3 Ru 0.0000 0.0000 0.0000 x3  6 Tc 2.73, 6 Ru 2.73

Computed properties:
Calculated formation energy ... -0.011 eV/atom